## CsTl2Pd2 (PBE-GGA)

Data for a relaxed CsTl2Pd2 crystal.

Cell and atoms, written as POSCAR:
```
CsTl2Pd2
1.0
8.909 0.000 0.000
0.000 8.909 0.000
0.000 0.000 3.213
Cs Tl Pd
2 4 4
Direct
0.000 0.000 0.000
0.500 0.500 0.000
0.124 0.376 0.000
0.376 0.876 0.000
0.624 0.124 0.000
0.876 0.624 0.000
0.168 0.668 0.500
0.332 0.168 0.500
0.668 0.832 0.500
0.832 0.332 0.500
```

space-group type = P4/mbm
energy relative to the elements = 10 kJ/mol of formula units
distance to the lowest polymorph of the same formula = 183 meV/atom
N(E_F) = 4.02 states/eV/cell
calculated total energy = -3.173 eV/atom
calculated volume = 255 Å³/cell
theoretical density = 9.8 Mg/m³